1.
This record from Alexandria describes crystalline Ac8PIr3Cl4 at its relaxed geometry. The functional is PBE-GGA.

## Properties
* DOS at the Fermi energy: 0.516 states/eV per atom
* formation energy without anion corrections: -1.3087 eV/atom
* space-group type: No. 12
* total magnetic moment: 0.0 μB/f.u.
* crystal system: monoclinic
* volume: 526.6 Å³/f.u.

a = 8.8086 Å, b = 8.8086 Å, c = 9.3448 Å
α = 118.15°, β = 118.15°, γ = 60.00°
Closest atoms and distances in Å follow each position.
Fractional coordinates of all 16 atoms:
1 Ac 0.2237 0.7404 0.7043  2 Ir 2.97, 1 P 3.08
2 Ac 0.2344 0.2344 0.7029  3 Ir 3.00
3 Ac 0.2596 0.2596 0.2957  2 Ir 2.97, 1 P 3.08
4 Ac 0.2596 0.7763 0.2957  2 Ir 2.97, 1 P 3.08
5 Ac 0.7404 0.2237 0.7043  2 Ir 2.97, 1 P 3.08
6 Ac 0.7404 0.7404 0.7043  2 Ir 2.97, 1 P 3.08
7 Ac 0.7656 0.7656 0.2971  3 Ir 3.00
8 Ac 0.7763 0.2596 0.2957  2 Ir 2.97, 1 P 3.08
9 P 0.5000 0.5000 0.5000  6 Ac 3.08
10 Ir 0.0000 0.0000 0.5000  6 Ac 2.97-3.00
11 Ir 0.0000 0.5000 0.5000  6 Ac 2.97-3.00
12 Ir 0.5000 0.0000 0.5000  6 Ac 2.97-3.00
13 Cl 0.0000 0.0000 0.0000  6 Ac 3.38
14 Cl 0.0000 0.5000 0.0000  6 Ac 3.45-3.47
15 Cl 0.5000 0.0000 0.0000  6 Ac 3.45-3.47
16 Cl 0.5000 0.5000 0.0000  6 Ac 3.45-3.47

***

2.
This record from Alexandria describes crystalline Ac6PIr2Cl2 at its relaxed geometry. The functional is PBE-GGA.

## Properties
* DOS at the Fermi energy: 0.718 states/eV per atom
* formation energy without anion corrections: -1.1414 eV/atom
* space-group type: No. 12
* total magnetic moment: 0.0 μB/f.u.
* crystal system: monoclinic
* volume: 379.2 Å³/f.u.

a = 7.6493 Å, b = 7.6493 Å, c = 7.7665 Å
α = 99.36°, β = 99.36°, γ = 118.36°
Closest atoms and distances in Å follow each position.
Fractional coordinates of all 11 atoms:
1 Ac 0.0868 0.4267 0.7830  2 Ir 2.98-3.01, 1 P 3.07
2 Ac 0.2170 0.2170 0.2165  2 Ir 2.98, 1 P 3.18, 2 Cl 3.31
3 Ac 0.4267 0.0868 0.7830  2 Ir 2.98-3.01, 1 P 3.07
4 Ac 0.5733 0.9132 0.2170  2 Ir 2.98-3.01, 1 P 3.07
5 Ac 0.7830 0.7830 0.7835  2 Ir 2.98, 1 P 3.18, 2 Cl 3.31
6 Ac 0.9132 0.5733 0.2170  2 Ir 2.98-3.01, 1 P 3.07
7 P 0.5000 0.5000 0.0000  6 Ac 3.07-3.18
8 Ir 0.1700 0.8300 0.0000  6 Ac 2.98-3.01
9 Ir 0.8300 0.1700 0.0000  6 Ac 2.98-3.01
10 Cl 0.3421 0.6579 0.5000  6 Ac 3.31-3.35
11 Cl 0.6579 0.3421 0.5000  6 Ac 3.31-3.35

***

3.
This record from Alexandria describes crystalline Ac4PIrCl2 at its relaxed geometry. The functional is PBE-GGA.

## Properties
* DOS at the Fermi energy: 0.740 states/eV per atom
* formation energy without anion corrections: -1.3603 eV/atom
* space-group type: No. 10
* total magnetic moment: 0.0 μB/f.u.
* crystal system: monoclinic
* volume: 255.4 Å³/f.u.

a = 7.8678 Å, b = 4.2926 Å, c = 7.9375 Å
α = 90.00°, β = 107.71°, γ = 90.00°
Closest atoms and distances in Å follow each position.
Fractional coordinates of all 8 atoms:
1 Ac 0.2086 0.0000 0.2218  2 Ir 2.94, 1 P 3.13, 1 Cl 3.29
2 Ac 0.2190 0.5000 0.7442  1 Ir 3.04, 2 P 3.05, 3 Cl 3.30-3.35
3 Ac 0.7810 0.5000 0.2558  1 Ir 3.04, 2 P 3.05, 3 Cl 3.30-3.35
4 Ac 0.7914 0.0000 0.7782  2 Ir 2.94, 1 P 3.13, 1 Cl 3.29
5 P 0.0000 0.0000 0.5000  6 Ac 3.05-3.13
6 Ir 0.0000 0.5000 0.0000  6 Ac 2.94-3.04
7 Cl 0.5000 0.0000 0.0000  6 Ac 3.29-3.30
8 Cl 0.5000 0.5000 0.5000  6 Ac 3.35-3.41

***

4.
This record from Alexandria describes crystalline Ac6P2IrCl3 at its relaxed geometry. The functional is PBE-GGA.

## Properties
* DOS at the Fermi energy: 0.595 states/eV per atom
* formation energy without anion corrections: -1.4302 eV/atom
* space-group type: No. 12
* total magnetic moment: 0.0 μB/f.u.
* crystal system: monoclinic
* volume: 373.1 Å³/f.u.

a = 9.9274 Å, b = 9.9274 Å, c = 9.1387 Å
α = 102.36°, β = 102.36°, γ = 25.12°
Closest atoms and distances in Å follow each position.
Fractional coordinates of all 12 atoms:
1 Ac 0.0058 0.0058 0.2242  2 Ir 2.96, 1 P 3.09, 1 Cl 3.30
2 Ac 0.3274 0.3274 0.4355  3 P 3.01-3.02, 3 Cl 3.21-3.27
3 Ac 0.3408 0.3408 0.9060  1 Ir 3.02, 2 P 3.05, 3 Cl 3.27-3.32
4 Ac 0.6592 0.6592 0.0940  1 Ir 3.02, 2 P 3.05, 3 Cl 3.27-3.32
5 Ac 0.6726 0.6726 0.5645  3 P 3.01-3.02, 3 Cl 3.21-3.27
6 Ac 0.9942 0.9942 0.7758  2 Ir 2.96, 1 P 3.09, 1 Cl 3.30
7 P 0.1683 0.1683 0.3330  6 Ac 3.01-3.09
8 P 0.8317 0.8317 0.6670  6 Ac 3.01-3.09
9 Ir 0.5000 0.5000 0.0000  6 Ac 2.96-3.02
10 Cl 0.1680 0.1680 0.8221  6 Ac 3.21-3.32
11 Cl 0.5000 0.5000 0.5000  6 Ac 3.27-3.34
12 Cl 0.8320 0.8320 0.1779  6 Ac 3.21-3.32

***

5.
This record from Alexandria describes crystalline Ac6P2Ir3Cl at its relaxed geometry. The functional is PBE-GGA.

## Properties
* DOS at the Fermi energy: 0.390 states/eV per atom
* formation energy without anion corrections: -1.0462 eV/atom
* space-group type: No. 12
* total magnetic moment: 0.0 μB/f.u.
* crystal system: monoclinic
* volume: 362.4 Å³/f.u.

a = 9.8821 Å, b = 9.8821 Å, c = 8.9506 Å
α = 104.88°, β = 104.88°, γ = 25.45°
Closest atoms and distances in Å follow each position.
Fractional coordinates of all 12 atoms:
1 Ac 0.0034 0.0034 0.2283  3 Ir 2.97-2.99, 1 P 3.13, 2 Cl 3.28
2 Ac 0.3253 0.3253 0.4238  3 Ir 3.00-3.07, 2 P 3.14, 1 Cl 3.26
3 Ac 0.3351 0.3351 0.9164  3 Ir 3.07-3.10, 3 P 3.19
4 Ac 0.6649 0.6649 0.0836  3 Ir 3.07-3.10, 3 P 3.19
5 Ac 0.6747 0.6747 0.5762  3 Ir 3.00-3.07, 2 P 3.14, 1 Cl 3.26
6 Ac 0.9966 0.9966 0.7717  3 Ir 2.97-2.99, 1 P 3.13, 2 Cl 3.28
7 P 0.1634 0.1634 0.8219  6 Ac 3.13-3.19
8 P 0.8366 0.8366 0.1781  6 Ac 3.13-3.19
9 Ir 0.1640 0.1640 0.3301  6 Ac 2.99-3.10
10 Ir 0.5000 0.5000 0.0000  6 Ac 2.97-3.07
11 Ir 0.8360 0.8360 0.6699  6 Ac 2.99-3.10
12 Cl 0.5000 0.5000 0.5000  6 Ac 3.26-3.28

***

6.
This record from Alexandria describes crystalline Ac6PIr2Cl3 at its relaxed geometry. The functional is PBE-GGA.

## Properties
* DOS at the Fermi energy: 0.492 states/eV per atom
* formation energy without anion corrections: -1.3501 eV/atom
* space-group type: No. 12
* total magnetic moment: 0.0 μB/f.u.
* crystal system: monoclinic
* volume: 390.6 Å³/f.u.

a = 10.6603 Å, b = 10.6603 Å, c = 8.9618 Å
α = 104.83°, β = 104.83°, γ = 23.41°
Closest atoms and distances in Å follow each position.
Fractional coordinates of all 12 atoms:
1 Ac 0.0222 0.0222 0.2480  1 Ir 3.00, 2 P 3.05, 3 Cl 3.08-3.25
2 Ac 0.3194 0.3194 0.4377  3 Ir 2.99-3.00
3 Ac 0.3410 0.3410 0.9033  2 Ir 2.96, 1 P 3.20
4 Ac 0.6590 0.6590 0.0967  2 Ir 2.96, 1 P 3.20
5 Ac 0.6806 0.6806 0.5623  3 Ir 2.99-3.00
6 Ac 0.9778 0.9778 0.7520  1 Ir 3.00, 2 P 3.05, 3 Cl 3.08-3.25
7 P 0.5000 0.5000 0.0000  6 Ac 3.05-3.20
8 Ir 0.1708 0.1708 0.3276  6 Ac 2.96-3.00
9 Ir 0.8292 0.8292 0.6724  6 Ac 2.96-3.00
10 Cl 0.1294 0.1294 0.8003  5 Ac 3.08-3.40
11 Cl 0.5000 0.5000 0.5000  4 Ac 3.25
12 Cl 0.8706 0.8706 0.1997  5 Ac 3.08-3.40

***

7.
This record from Alexandria describes crystalline Ac8PIr3Cl3 at its relaxed geometry. The functional is PBE-GGA.

## Properties
* DOS at the Fermi energy: 0.582 states/eV per atom
* formation energy without anion corrections: -1.1598 eV/atom
* space-group type: No. 166
* total magnetic moment: 0.0 μB/f.u.
* crystal system: trigonal
* volume: 512.5 Å³/f.u.

a = 9.0953 Å, b = 9.0953 Å, c = 9.0953 Å
α = 58.39°, β = 58.39°, γ = 58.39°
Closest atoms and distances in Å follow each position.
Fractional coordinates of all 15 atoms:
1 Ac 0.2240 0.7446 0.7446  2 Ir 2.98, 1 P 3.11
2 Ac 0.2366 0.2366 0.2366  3 Ir 3.01, 3 Cl 3.36
3 Ac 0.2554 0.2554 0.7760  2 Ir 2.98, 1 P 3.11
4 Ac 0.2554 0.7760 0.2554  2 Ir 2.98, 1 P 3.11
5 Ac 0.7446 0.2240 0.7446  2 Ir 2.98, 1 P 3.11
6 Ac 0.7446 0.7446 0.2240  2 Ir 2.98, 1 P 3.11
7 Ac 0.7634 0.7634 0.7634  3 Ir 3.01, 3 Cl 3.36
8 Ac 0.7760 0.2554 0.2554  2 Ir 2.98, 1 P 3.11
9 P 0.5000 0.5000 0.5000  6 Ac 3.11
10 Ir 0.0000 0.0000 0.5000  6 Ac 2.98-3.01
11 Ir 0.0000 0.5000 0.0000  6 Ac 2.98-3.01
12 Ir 0.5000 0.0000 0.0000  6 Ac 2.98-3.01
13 Cl 0.0000 0.5000 0.5000  6 Ac 3.36-3.39
14 Cl 0.5000 0.0000 0.5000  6 Ac 3.36-3.39
15 Cl 0.5000 0.5000 0.0000  6 Ac 3.36-3.39

***

8.
This record from Alexandria describes crystalline Ac3IrPbCl at its relaxed geometry. The functional is PBE-GGA.

## Properties
* DOS at the Fermi energy: 0.643 states/eV per atom
* formation energy without anion corrections: -0.8833 eV/atom
* space-group type: No. 11
* total magnetic moment: 0.0 μB/f.u.
* crystal system: monoclinic
* volume: 206.7 Å³/f.u.

a = 8.5500 Å, b = 4.4783 Å, c = 11.2517 Å
α = 90.00°, β = 106.32°, γ = 90.00°
Closest atoms and distances in Å follow each position.
Fractional coordinates of all 12 atoms:
1 Ac 0.0620 0.2500 0.3735  3 Ir 2.96-3.04
2 Ac 0.2057 0.2500 0.9391  3 Cl 2.99-3.17, 1 Ir 3.24
3 Ac 0.4214 0.7500 0.6491  1 Cl 2.88, 2 Ir 3.01
4 Ac 0.5786 0.2500 0.3509  1 Cl 2.88, 2 Ir 3.01
5 Ac 0.7943 0.7500 0.0609  3 Cl 2.99-3.17, 1 Ir 3.24
6 Ac 0.9380 0.7500 0.6265  3 Ir 2.96-3.04
7 Ir 0.1852 0.2500 0.6470  6 Ac 2.96-3.24
8 Ir 0.8148 0.7500 0.3530  6 Ac 2.96-3.24
9 Pb 0.2248 0.7500 0.1922  7 Ac 3.56-3.78
10 Pb 0.7752 0.2500 0.8078  7 Ac 3.56-3.78
11 Cl 0.4217 0.7500 0.9056  4 Ac 2.88-3.17, 2 Cl 3.12
12 Cl 0.5783 0.2500 0.0944  4 Ac 2.88-3.17, 2 Cl 3.12

***

9.
This record from Alexandria describes crystalline Ac4IrPdCl2 at its relaxed geometry. The functional is PBE-GGA.

## Properties
* DOS at the Fermi energy: 0.518 states/eV per atom
* formation energy without anion corrections: -1.2505 eV/atom
* space-group type: No. 10
* total magnetic moment: 0.0 μB/f.u.
* crystal system: monoclinic
* volume: 266.3 Å³/f.u.

a = 7.6253 Å, b = 4.3774 Å, c = 8.3926 Å
α = 90.00°, β = 108.11°, γ = 90.00°
Closest atoms and distances in Å follow each position.
Fractional coordinates of all 8 atoms:
1 Ac 0.2277 0.0000 0.2031  2 Ir 2.98, 1 Pd 3.07
2 Ac 0.2558 0.5000 0.7961  1 Ir 2.97, 2 Pd 3.03
3 Ac 0.7442 0.5000 0.2039  1 Ir 2.97, 2 Pd 3.03
4 Ac 0.7723 0.0000 0.7969  2 Ir 2.98, 1 Pd 3.07
5 Ir 0.0000 0.5000 0.0000  6 Ac 2.97-2.98
6 Pd 0.5000 0.0000 0.0000  6 Ac 3.03-3.07
7 Cl 0.0000 0.0000 0.5000  6 Ac 3.43-3.45
8 Cl 0.5000 0.5000 0.5000  6 Ac 3.48-3.54

***

10.
This record from Alexandria describes crystalline Ac6Ir2PdCl3 at its relaxed geometry. The functional is PBE-GGA.

## Properties
* DOS at the Fermi energy: 0.391 states/eV per atom
* formation energy without anion corrections: -1.2670 eV/atom
* space-group type: No. 12
* total magnetic moment: 0.0 μB/f.u.
* crystal system: monoclinic
* volume: 396.8 Å³/f.u.

a = 10.4316 Å, b = 10.4316 Å, c = 9.4356 Å
α = 108.87°, β = 108.87°, γ = 24.17°
Closest atoms and distances in Å follow each position.
Fractional coordinates of all 12 atoms:
1 Ac 0.0134 0.0134 0.2311  1 Ir 2.94, 2 Pd 3.03
2 Ac 0.3218 0.3218 0.4450  3 Ir 2.99-3.00
3 Ac 0.3399 0.3399 0.8848  2 Ir 2.97, 1 Pd 3.08
4 Ac 0.6601 0.6601 0.1152  2 Ir 2.97, 1 Pd 3.08
5 Ac 0.6782 0.6782 0.5550  3 Ir 2.99-3.00
6 Ac 0.9866 0.9866 0.7689  1 Ir 2.94, 2 Pd 3.03
7 Ir 0.1660 0.1660 0.3318  6 Ac 2.94-3.00
8 Ir 0.8340 0.8340 0.6682  6 Ac 2.94-3.00
9 Pd 0.5000 0.5000 0.0000  6 Ac 3.03-3.08
10 Cl 0.1673 0.1673 0.8366  6 Ac 3.40-3.53
11 Cl 0.5000 0.5000 0.5000  6 Ac 3.43-3.50
12 Cl 0.8327 0.8327 0.1634  6 Ac 3.40-3.53